1.
Computed, not measured: a relaxed structure of NaEr2Tl at the PBE level of DFT.

Summary:
Calculated formation energy ... 0.11 eV per atom
E above lowest polymorph ... 131 meV per atom
N(E_F) ... 4.1 states/eV/f.u.

a = 12.170 Å, b = 12.170 Å, c = 12.170 Å
α = 16.52°, β = 16.52°, γ = 16.52°
Atoms (fractional coordinates):
Na: 0.000 0.000 0.000
Er: 0.096 0.096 0.096
Er: 0.904 0.904 0.904
Tl: 0.500 0.500 0.500

2.
Computed, not measured: a relaxed structure of PmSi2Rh at the PBE level of DFT.

Summary:
Formation energy (no corrections) ... -0.920 eV per atom
E above lowest polymorph ... 0 meV per atom
N(E_F) ... 1.3 states/eV/f.u.

a = 13.539 Å, b = 4.026 Å, c = 10.664 Å
α = 90.00°, β = 90.00°, γ = 90.00°
Atoms (fractional coordinates):
Pm: 0.054 0.250 0.246
Pm: 0.200 0.750 0.974
Pm: 0.300 0.250 0.474
Pm: 0.446 0.750 0.746
Pm: 0.554 0.250 0.254
Pm: 0.700 0.750 0.526
Pm: 0.800 0.250 0.026
Pm: 0.946 0.750 0.754
Si: 0.029 0.250 0.956
Si: 0.112 0.250 0.765
Si: 0.121 0.750 0.461
Si: 0.215 0.750 0.261
Si: 0.285 0.250 0.761
Si: 0.379 0.250 0.961
Si: 0.388 0.750 0.265
Si: 0.471 0.750 0.456
Si: 0.529 0.250 0.544
Si: 0.612 0.250 0.735
Si: 0.621 0.750 0.039
Si: 0.715 0.750 0.239
Si: 0.785 0.250 0.739
Si: 0.879 0.250 0.539
Si: 0.888 0.750 0.235
Si: 0.971 0.750 0.044
Rh: 0.062 0.250 0.555
Rh: 0.190 0.750 0.676
Rh: 0.310 0.250 0.176
Rh: 0.438 0.750 0.055
Rh: 0.562 0.250 0.945
Rh: 0.690 0.750 0.824
Rh: 0.810 0.250 0.324
Rh: 0.938 0.750 0.445

3.
Computed, not measured: a relaxed structure of Th6Ir3Rh2Au at the PBE level of DFT.

Summary:
Calculated formation energy ... -0.91 eV per atom
N(E_F) ... 5.0 states/eV/f.u.

a = 9.258 Å, b = 9.258 Å, c = 8.364 Å
α = 102.32°, β = 102.32°, γ = 25.88°
Atoms (fractional coordinates):
Th: 0.003 0.003 0.268
Th: 0.325 0.325 0.911
Th: 0.333 0.333 0.412
Th: 0.667 0.667 0.588
Th: 0.675 0.675 0.089
Th: 0.997 0.997 0.732
Ir: 0.163 0.163 0.836
Ir: 0.500 0.500 0.500
Ir: 0.837 0.837 0.164
Rh: 0.167 0.167 0.334
Rh: 0.833 0.833 0.666
Au: 0.500 0.500 0.000

4.
Computed, not measured: a relaxed structure of FeRe2WAu at the PBE level of DFT.

Summary:
Calculated formation energy ... 2.55 eV per atom
N(E_F) ... 6.7 states/eV/f.u.

a = 4.699 Å, b = 4.699 Å, c = 4.978 Å
α = 90.00°, β = 90.00°, γ = 90.00°
Atoms (fractional coordinates):
Fe: 0.000 0.000 0.000
Re: 0.000 0.500 0.500
Re: 0.500 0.000 0.500
W: 0.500 0.500 0.500
Au: 0.500 0.500 0.000

5.
Computed, not measured: a relaxed structure of Mg2AsOs at the PBE level of DFT.

Summary:
Calculated formation energy ... 0.15 eV per atom
N(E_F) ... 1.1 states/eV/f.u.

a = 7.491 Å, b = 7.491 Å, c = 7.491 Å
α = 95.43°, β = 95.43°, γ = 144.16°
Atoms (fractional coordinates):
Mg: 0.000 0.000 0.000
Mg: 0.000 0.000 0.500
Mg: 0.000 0.500 0.000
Mg: 0.500 0.000 0.500
As: 0.375 0.625 0.750
As: 0.625 0.375 0.250
Os: 0.125 0.875 0.250
Os: 0.875 0.125 0.750

6.
Computed, not measured: a relaxed structure of Cs2FePtBr6 at the PBE level of DFT.

Summary:
Formation energy (no corrections) ... -0.864 eV per atom
N(E_F) ... 1.8 states/eV/f.u.

a = 7.951 Å, b = 7.951 Å, c = 7.951 Å
α = 122.92°, β = 122.92°, γ = 85.01°
Atoms (fractional coordinates):
Cs: 0.250 0.750 0.500
Cs: 0.750 0.250 0.500
Fe: 0.000 0.000 0.000
Pt: 0.500 0.500 0.000
Br: 0.202 0.202 0.000
Br: 0.267 0.267 0.534
Br: 0.267 0.733 0.000
Br: 0.733 0.267 0.000
Br: 0.733 0.733 0.466
Br: 0.798 0.798 0.000

no.,E (eV/atom)
1,-3.09
2,-6.66
3,-8.33
4,-7.37
5,-4.62
6,-3.49